LiCuRh2I, relaxed, DFT GGA-PBE; V = 115.6 Å³ per cell; energy relative to the elements, uncorrected = 4.0 eV per formula unit
1.0
4.895 0.000 0.000
0.000 4.823 0.000
0.000 0.000 4.895
Rh Li Cu I
2 1 1 1
direct
0.500 0.000 0.000
0.000 0.000 0.500
0.500 0.500 0.500
0.000 0.500 0.000
0.000 0.000 0.000